No. 1
This record from the Alexandria database describes a relaxed HoEr12Sc7 crystal. The functional is PBE.

Cell: 10.8634 10.8634 10.8634 Å, 90.00 90.00 90.00°
Last column: nearest neighbours and their distance in Å.
Space group Im-3 (No. 204)
Unique sites:
Ho  0.0000  0.0000  0.0000  12 Er 3.97
Er  0.0000  0.2585  0.2577  2 Sc 2.72
Sc  0.0000  0.0000  0.5000  12 Er 3.72-3.85
Sc  0.2500  0.2500  0.2500  6 Er 2.72

## Properties
DOS at the Fermi energy: 32.447 states/eV/f.u.
E_form: 0.696 eV/atom
E: -4.4866 eV/atom
Crystal system: cubic
Calculated density: 6442 kg/m3

=====

No. 2
This record from the Alexandria database describes a relaxed Ho6Er4Sc crystal. The functional is PBE.

Cell: 5.5435 9.5394 25.3546 Å, 90.00 90.00 90.00°
Last column: nearest neighbours and their distance in Å.
Space group Cmcm (No. 63)
Unique sites:
Ho  0.0000  0.0000  0.0000  8 Er 3.09-3.38
Ho  0.0000  0.0055  0.2500  3 Sc 3.18-3.19, 2 Er 3.25
Ho  0.0000  0.3271  0.6063  6 Er 3.21-3.59
Ho  0.0000  0.3395  0.1827  7 Ho 3.41-3.74, 4 Er 3.53-3.56, 3 Sc 3.60-3.63
Er  0.0000  0.0074  0.1217  5 Ho 3.09-3.25
Er  0.0000  0.3357  0.0431  7 Ho 3.37-3.59, 1 Er 3.71
Sc  0.0000  0.3282  0.7500  3 Ho 3.18-3.19

## Properties
DOS at the Fermi energy: 18.393 states/eV/f.u.
E_form: 0.138 eV/atom
E: -4.5942 eV/atom
Crystal system: orthorhombic
Calculated density: 8439 kg/m3

=====

No. 3
This record from the Alexandria database describes a relaxed HoEr4Sc15 crystal. The functional is PBE.

Cell: 4.7238 4.7238 23.5584 Å, 90.00 90.00 90.00°
Last column: nearest neighbours and their distance in Å.
Space group P4/mmm (No. 123)
Unique sites:
Ho  0.0000  0.0000  0.0000  12 Sc 3.34
Er  0.0000  0.0000  0.2001  12 Sc 3.33-3.34
Er  0.0000  0.0000  0.4001  12 Sc 3.34
Sc  0.0000  0.5000  0.1005  2 Er 3.33, 8 Sc 3.33-3.34, 2 Ho 3.34
Sc  0.0000  0.5000  0.3000  8 Sc 3.33-3.34, 4 Er 3.33-3.34
Sc  0.0000  0.5000  0.5000  8 Sc 3.33-3.34, 4 Er 3.34
Sc  0.5000  0.5000  0.0000  4 Ho 3.34, 8 Sc 3.34
Sc  0.5000  0.5000  0.2001  8 Sc 3.33, 4 Er 3.34
Sc  0.5000  0.5000  0.4001  8 Sc 3.33-3.34, 4 Er 3.34

## Properties
DOS at the Fermi energy: 40.002 states/eV/f.u.
E_form: 0.056 eV/atom
E: -5.8340 eV/atom
Crystal system: tetragonal
Calculated density: 4764 kg/m3

=====

What is the formula in the second record? Ho6Er4Sc